[1]
Cs2RbNa2: optimized geometry, PBE.

Structure (extended XYZ):
```
10
Lattice="-1.1346 12.2859 1.8064 -11.8621 -1.6089 3.4924 1.4159 -0.5398 4.5606" Properties=species:S:1:pos:R:3 pbc="T T T"
Na -4.2582 9.4868 4.9769
Na -9.9885 6.5087 6.4035
Na -7.3226 0.6504 4.8825
Na -1.5923 3.6285 3.4559
Cs -8.5295 9.5854 3.7827
Cs -4.4672 1.0916 1.5161
Cs -10.6559 3.0771 3.6725
Cs -2.3408 7.5999 1.6263
Rb -6.4984 5.3385 2.6494
Rb 0.0000 0.0000 0.0000
```

Computed properties:
Total magnetization ... 0.0 μB per formula unit
Crystal system ... tetragonal
Space group ... No. 127
Offset from the most stable computed form ... 34 meV/atom
Energy of formation ... 0.054 eV per atom

***

[2]
Ca2ScPdO: optimized geometry, PBE.

Structure (extended XYZ):
```
5
Lattice="4.8961 0.0000 0.0000 0.0000 4.8961 0.0000 0.0000 0.0000 4.1889" Properties=species:S:1:pos:R:3 pbc="T T T"
Ca 0.0000 2.4480 0.0000
Ca 2.4480 0.0000 0.0000
Pd 2.4480 2.4480 2.0945
O 0.0000 0.0000 0.0000
Sc 0.0000 0.0000 2.0945
```

Computed properties:
Total magnetization ... 0.0 μB per formula unit
Crystal system ... tetragonal
Space group ... No. 123
Raw formation energy ... -1.36 eV/atom

***

[3]
DyErScOs: optimized geometry, PBE.

Structure (extended XYZ):
```
4
Lattice="-3.4043 2.6775 -2.5073 -4.3136 1.2566 2.2043 -0.8672 4.7626 1.2690" Properties=species:S:1:pos:R:3 pbc="T T T"
Er 0.0000 0.0000 0.0000
Dy -4.2925 4.3483 0.4830
Sc -2.1463 2.1742 0.2415
Os -6.4388 6.5225 0.7245
```

Computed properties:
Total magnetization ... 0.0 μB per formula unit
Crystal system ... cubic
Space group ... No. 216
Energy of formation ... -0.013 eV per atom